[1]
The following is a GGA-PBE calculation of crystalline Rb2NiBr6Cl at its relaxed geometry, from Alexandria via LeMat-Bulk.

Calculated values
The value obtained for the total energy is -0.1006 Ha/atom. Its uncorrected formation energy is -0.778 eV per atom. The crystal system is tetragonal. As for the density of states at the Fermi level: 9.71 states/eV per cell.

Unit cell a=7.4703 b=7.4703 c=11.4293 alpha=90.00 beta=90.00 gamma=90.00
Space group I4/mmm (No. 139)
Unique sites:
Rb1 0.0000 0.5000 0.2500
Ni1 0.0000 0.0000 0.0000
Br1 0.0000 0.0000 0.2083
Br2 0.2328 0.2328 0.0000
Cl1 0.0000 0.0000 0.5000

---

[2]
The following is a GGA-PBE calculation of crystalline Rb2NiBrCl6 at its relaxed geometry, from Alexandria via LeMat-Bulk.

Calculated values
The value obtained for the total energy is -0.1095 Ha/atom. Its uncorrected formation energy is -0.933 eV per atom. The crystal system is tetragonal. For the energy relative to the lowest polymorph listed for this composition, the calculation gives 45 meV per atom. As for the density of states at the Fermi level: 3.94 states/eV per cell.

Unit cell a=7.7937 b=7.7937 c=9.0939 alpha=90.00 beta=90.00 gamma=90.00
Space group I4/mmm (No. 139)
Unique sites:
Rb1 0.0000 0.5000 0.2500
Ni1 0.0000 0.0000 0.0000
Br1 0.0000 0.0000 0.5000
Cl1 0.0000 0.0000 0.2446
Cl2 0.2050 0.2050 0.0000

---

[3]
The following is a GGA-PBE calculation of crystalline RbNiBrCl2 at its relaxed geometry, from Alexandria via LeMat-Bulk.

Calculated values
The value obtained for the total energy is -0.1248 Ha/atom. Its uncorrected formation energy is -0.974 eV per atom. The crystal system is tetragonal. As for the density of states at the Fermi level: 1.87 states/eV per cell.

Unit cell a=4.8489 b=4.8489 c=5.1032 alpha=90.00 beta=90.00 gamma=90.00
Space group P4/mmm (No. 123)
Unique sites:
Rb1 0.0000 0.0000 0.0000
Ni1 0.5000 0.5000 0.5000
Br1 0.5000 0.5000 0.0000
Cl1 0.0000 0.5000 0.5000

---

[4]
The following is a GGA-PBE calculation of crystalline Rb2NiBrCl6 at its relaxed geometry, from Alexandria via LeMat-Bulk.

Calculated values
The value obtained for the total energy is -0.1111 Ha/atom. Its uncorrected formation energy is -0.977 eV per atom. The crystal system is orthorhombic. For the energy relative to the lowest polymorph listed for this composition, the calculation gives 0 meV per atom. As for the density of states at the Fermi level: 7.98 states/eV per cell.

Unit cell a=7.5296 b=9.6520 c=8.1005 alpha=90.00 beta=90.00 gamma=90.00
Space group Pmmn (No. 59, origin choice 2)
Unique sites:
Rb1 0.2500 0.0039 0.2340
Ni1 0.2500 0.7500 0.7613
Br1 0.2500 0.2500 0.7271
Cl1 0.0394 0.7500 0.9573
Cl2 0.0423 0.7500 0.5661
Cl3 0.2500 0.0004 0.7868